Entry 1:
First-principles (GGA-PBE) data for crystalline Ge3TeS at its relaxed geometry, as listed in the Alexandria database.

The structure in POSCAR format:
```
Ge3TeS
1.0
5.467 0.000 0.000
0.000 5.467 0.000
0.000 0.000 5.467
Ge Te S
3 1 1
Cartesian
0.000 2.733 0.000 Ge
0.000 0.000 2.733 Ge
2.733 0.000 0.000 Ge
0.000 0.000 0.000 Te
2.733 2.733 2.733 S
```

Output
Offset from the most stable computed form   0.679 eV per atom
Calculated volume   32.68 Å³ per atom
Space-group type   Pm-3m, No. 221
Formation energy from raw total energies   1.11 eV per atom
D(E_F)   4.3 states/eV/cell



Entry 2:
First-principles (GGA-PBE) data for crystalline Ge2TeS2 at its relaxed geometry, as listed in the Alexandria database.

The structure in POSCAR format:
```
Ge2TeS2
1.0
-7.962 -1.162 -3.349
-0.422 -0.253 -8.701
4.690 -4.600 6.302
Ge Te S
4 2 4
Cartesian
0.281 -3.590 -0.862 Ge
-2.938 -1.346 -1.222 Ge
-5.449 -2.517 -2.490 Ge
0.699 -4.266 2.080 Ge
-0.492 -1.099 -0.328 Te
0.288 -3.754 -3.473 Te
-4.311 -2.927 -0.466 S
-0.734 -5.110 0.408 S
2.333 -3.706 0.229 S
-3.214 -1.855 -3.476 S
```

Output
Offset from the most stable computed form   0.000 eV per atom
Calculated volume   36.52 Å³ per atom
Space-group type   Cc, No. 9
Formation energy from raw total energies   -0.15 eV per atom